Compound: Ti2CrIr
Source: the Alexandria database
Functional: PBE
Structure: optimized geometry

Cell lengths 3.861, 3.861, 9.268 Å; angles 77.98, 77.98, 90.00 degrees
Each line ends with the local moment (μB).
Element x y z (fractional)
Cr (0.500, 0.500, 0.000)  2.63
Cr (0.250, 0.750, 0.500)  2.63
Ti (0.875, 0.875, 0.750)  -0.12
Ti (0.125, 0.625, 0.250)  -0.12
Ti (0.625, 0.125, 0.250)  -0.12
Ti (0.375, 0.375, 0.750)  -0.12
Ir (0.000, 0.000, 0.000)  0.09
Ir (0.750, 0.250, 0.500)  0.10

space-group type = No. 122
uncorrected energy = -8.284 eV per atom

Compound: TiCrIr3
Source: the Alexandria database
Functional: PBE
Structure: optimized geometry

Cell lengths 4.468, 4.468, 4.468 Å; angles 90.00, 90.00, 90.00 degrees
Each line ends with the local moment (μB).
Element x y z (fractional)
Ir (0.000, 0.500, 0.000)  -0.02
Ir (0.000, 0.000, 0.500)  -0.04
Ir (0.500, 0.000, 0.000)  -0.04
Cr (0.000, 0.000, 0.000)  0.05
Ti (0.500, 0.500, 0.500)  0.78

space-group type = No. 221
uncorrected energy = -7.895 eV per atom

Compound: TiCr2Ir2
Source: the Alexandria database
Functional: PBE
Structure: optimized geometry

Cell lengths 7.252, 7.252, 2.696 Å; angles 90.00, 90.00, 90.00 degrees
Element x y z (fractional)
Cr (0.116, 0.384, 0.000)
Cr (0.616, 0.116, 0.000)
Cr (0.384, 0.884, 0.000)
Cr (0.884, 0.616, 0.000)
Ir (0.823, 0.323, 0.500)
Ir (0.323, 0.177, 0.500)
Ir (0.677, 0.823, 0.500)
Ir (0.177, 0.677, 0.500)
Ti (0.500, 0.500, 0.000)
Ti (0.000, 0.000, 0.000)

space-group type = No. 127
uncorrected energy = -9.180 eV per atom

Compound: Ti2CrIr
Source: the Alexandria database
Functional: PBE
Structure: optimized geometry

Cell lengths 4.338, 4.338, 4.338 Å; angles 60.00, 60.00, 60.00 degrees
Each line ends with the local moment (μB).
Element x y z (fractional)
Cr (0.000, 0.000, 0.000)  0.99
Ti (0.750, 0.750, 0.750)  -0.17
Ti (0.250, 0.250, 0.250)  -0.17
Ir (0.500, 0.500, 0.500)  0.06

space-group type = No. 225
uncorrected energy = -9.128 eV per atom